[1]
The following is a PBE calculation of a relaxed structure of Rb2AsPdI6, from Alexandria.

Cell and atoms, written as CIF:
```
data_Rb2AsPdI6
_space_group_name_H-M_alt 'P 1'
_space_group_IT_number 1
_cell_length_a 8.166
_cell_length_b 8.166
_cell_length_c 8.133
_cell_angle_alpha 59.86
_cell_angle_beta 59.86
_cell_angle_gamma 90.00
loop_
_space_group_symop_operation_xyz
'x,y,z'
loop_
_atom_site_label
_atom_site_fract_x
_atom_site_fract_y
_atom_site_fract_z
_atom_site_occupancy
I1 0.247 0.753 0.000 1
I2 0.753 0.247 0.000 1
I3 0.754 0.754 0.492 1
I4 0.753 0.753 0.000 1
I5 0.247 0.247 0.000 1
I6 0.246 0.246 0.508 1
Rb1 0.250 0.750 0.500 1
Rb2 0.750 0.250 0.500 1
As1 0.500 0.500 0.000 1
Pd1 0.000 0.000 0.000 1
```

Calculated values
Its symmetry is I4/mmm, No. 139. The calculation puts the density of states at the Fermi level at 3.29 states/eV/cell. For the energy relative to the elements, uncorrected, the calculation gives -665 meV per atom. For the total energy, the calculation gives -27.7 eV per cell.

---

[2]
The following is a PBE calculation of a relaxed structure of Nd3ZnN, from Alexandria.

Cell and atoms, written as CIF:
```
data_Nd3ZnN
_space_group_name_H-M_alt 'P 1'
_space_group_IT_number 1
_cell_length_a 4.992
_cell_length_b 4.992
_cell_length_c 4.992
_cell_angle_alpha 90.00
_cell_angle_beta 90.00
_cell_angle_gamma 90.00
loop_
_space_group_symop_operation_xyz
'x,y,z'
loop_
_atom_site_label
_atom_site_fract_x
_atom_site_fract_y
_atom_site_fract_z
_atom_site_occupancy
N1 0.000 0.000 0.000 1
Nd1 0.000 0.000 0.500 1
Nd2 0.500 0.000 0.000 1
Nd3 0.000 0.500 0.000 1
Zn1 0.500 0.500 0.500 1
```

Calculated values
Its symmetry is Pm-3m, No. 221. For the energy relative to the lowest polymorph listed for this composition, the calculation gives 0.060 eV/atom. The calculation puts the density of states at the Fermi level at 5.00 states/eV/cell. For the energy relative to the elements, uncorrected, the calculation gives -624 meV per atom. For the total energy, the calculation gives -27.0 eV per cell.

---

[3]
The following is a PBE calculation of a relaxed structure of Ba3HgI, from Alexandria.

Cell and atoms, written as CIF:
```
data_Ba3HgI
_space_group_name_H-M_alt 'P 1'
_space_group_IT_number 1
_cell_length_a 6.629
_cell_length_b 6.629
_cell_length_c 6.629
_cell_angle_alpha 90.00
_cell_angle_beta 90.00
_cell_angle_gamma 90.00
loop_
_space_group_symop_operation_xyz
'x,y,z'
loop_
_atom_site_label
_atom_site_fract_x
_atom_site_fract_y
_atom_site_fract_z
_atom_site_occupancy
Ba1 0.000 0.000 0.500 1
Ba2 0.000 0.500 0.000 1
Ba3 0.500 0.000 0.000 1
I1 0.500 0.500 0.500 1
Hg1 0.000 0.000 0.000 1
```

Calculated values
Its symmetry is Pm-3m, No. 221. For the energy relative to the lowest polymorph listed for this composition, the calculation gives 0.226 eV/atom. The calculation puts the density of states at the Fermi level at 6.36 states/eV/cell. For the energy relative to the elements, uncorrected, the calculation gives -458 meV per atom. For the total energy, the calculation gives -9.9 eV per cell.

---

[4]
The following is a PBE calculation of a relaxed structure of Be3BSb, from Alexandria.

Cell and atoms, written as CIF:
```
data_Be3BSb
_space_group_name_H-M_alt 'P 1'
_space_group_IT_number 1
_cell_length_a 4.585
_cell_length_b 4.585
_cell_length_c 4.585
_cell_angle_alpha 90.00
_cell_angle_beta 90.00
_cell_angle_gamma 90.00
loop_
_space_group_symop_operation_xyz
'x,y,z'
loop_
_atom_site_label
_atom_site_fract_x
_atom_site_fract_y
_atom_site_fract_z
_atom_site_occupancy
Be1 0.000 0.000 0.500 1
Be2 0.000 0.500 0.000 1
Be3 0.500 0.000 0.000 1
Sb1 0.000 0.000 0.000 1
B1 0.500 0.500 0.500 1
```

Calculated values
Its symmetry is Pm-3m, No. 221. For the energy relative to the lowest polymorph listed for this composition, the calculation gives 1.513 eV/atom. The calculation puts the density of states at the Fermi level at 2.26 states/eV/cell. For the energy relative to the elements, uncorrected, the calculation gives 2041 meV per atom. For the total energy, the calculation gives -11.8 eV per cell.

---

[5]
The following is a PBE calculation of a relaxed structure of TbBe6Pd6, from Alexandria.

Cell and atoms, written as CIF:
```
data_TbBe6Pd6
_space_group_name_H-M_alt 'P 1'
_space_group_IT_number 1
_cell_length_a 4.900
_cell_length_b 6.314
_cell_length_c 6.314
_cell_angle_alpha 80.85
_cell_angle_beta 67.17
_cell_angle_gamma 67.17
loop_
_space_group_symop_operation_xyz
'x,y,z'
loop_
_atom_site_label
_atom_site_fract_x
_atom_site_fract_y
_atom_site_fract_z
_atom_site_occupancy
Pd1 0.320 0.180 0.180 1
Pd2 0.000 0.337 0.663 1
Pd3 0.680 0.820 0.820 1
Pd4 0.340 0.660 0.660 1
Pd5 0.000 0.663 0.337 1
Pd6 0.660 0.340 0.340 1
Be1 0.000 0.500 0.000 1
Be2 0.500 0.755 0.245 1
Be3 0.500 0.245 0.755 1
Be4 0.000 0.000 0.500 1
Be5 0.500 0.500 0.000 1
Be6 0.500 0.000 0.500 1
Tb1 0.000 0.000 0.000 1
```

Calculated values
Its symmetry is Immm, No. 71. The calculation puts the density of states at the Fermi level at 5.64 states/eV/cell. For the total energy, the calculation gives -65.0 eV per cell. The calculation puts the energy of formation from the pure elements at -527 meV per atom.